## SmGdSc2 (GGA-PBE)

Data for crystalline SmGdSc2 at its relaxed geometry.

Cell lengths 5.4437, 5.4437, 5.4437 Å; angles 60.00, 60.00, 60.00 degrees
Last column: magnetic moment on the atom in μB.
Sites, in units of the cell vectors:
1 Sc 0.7500 0.7500 0.7500  -0.03
2 Sc 0.2500 0.2500 0.2500  -0.03
3 Gd 0.0000 0.0000 0.0000  7.13
4 Sm 0.5000 0.5000 0.5000  -0.07

Density (g/cm³): 5.787
SG: Fm-3m, No. 225
Magnetic moment (μB/f.u.): 7.13
Energy relative to the elements (eV per atom): 0.074
Polymorph energy (0 for the lowest one) (meV per atom): 24